Here is an optimized crystal structure of LiNi2Pb from Alexandria via LeMat-Bulk. Energies are from PBE-GGA.

Total DFT energy (no corrections), eV per atom: -4.17
Formation energy, eV per atom: 0.123
Space-group type: No. 99
Spin magnetization, Bohr magnetons per cell: 0.2

a = 3.2792 Å, b = 3.2792 Å, c = 5.5943 Å
α = 90.00°, β = 90.00°, γ = 90.00°
Positions (direct):
Li1 0.0000 0.0000 0.0000
Ni1 0.0000 0.0000 0.4290
Ni2 0.5000 0.5000 0.2147
Pb1 0.5000 0.5000 0.6951

---

Here is an optimized crystal structure of LiNi2Pb from Alexandria via LeMat-Bulk. Energies are from PBE-GGA.

Total DFT energy (no corrections), eV per atom: -4.09
Formation energy, eV per atom: 0.208
Space-group type: No. 10
Spin magnetization, Bohr magnetons per cell: 0.0

a = 2.9201 Å, b = 4.0366 Å, c = 5.2560 Å
α = 90.00°, β = 101.86°, γ = 90.00°
Positions (direct):
Li1 0.0000 0.0000 0.0000
Ni1 0.2441 0.5000 0.7851
Ni2 0.7559 0.5000 0.2149
Pb1 0.5000 0.0000 0.5000

---

Here is an optimized crystal structure of Li4NiPb from Alexandria via LeMat-Bulk. Energies are from PBE-GGA.

Total DFT energy (no corrections), eV per atom: -2.82
Formation energy, eV per atom: 0.040
Space-group type: No. 216
Spin magnetization, Bohr magnetons per cell: 0.3

a = 5.0392 Å, b = 5.0392 Å, c = 5.0392 Å
α = 60.00°, β = 60.00°, γ = 60.00°
Positions (direct):
Li1 0.1236 0.1236 0.1236
Li2 0.1236 0.1236 0.6290
Li3 0.1236 0.6290 0.1236
Li4 0.6290 0.1236 0.1236
Ni1 0.7500 0.7500 0.7500
Pb1 0.5000 0.5000 0.5000